## BaTa2Mn (meta-GGA SCAN)

Data for a crystal of BaTa2Mn relaxed with PBEsol.

abc: 2.8581 5.6282 5.8585
angles: 118.71 90.00 90.00
Last column: nearest neighbours and their distance in Å.
Sites, in units of the cell vectors:
Ta1 0.0000 0.0000 0.5000  4 Ta 2.81-2.86
Ta2 0.0000 0.5000 0.5000  4 Ta 2.81-2.86
Mn1 0.5000 0.5000 0.0000  2 Ba 2.81, 2 Mn 2.86
Ba1 0.5000 0.0000 0.0000  2 Mn 2.81, 2 Ba 2.86

VASP energy in eV/atom: -46.567
ΔE to the lowest computed polymorph in kJ/mol of formula units: 242.5
Magnetic moment in μB per formula unit: 3.4
Energy of formation in eV per atom: 1.176

=====

## Be2AsRh (meta-GGA SCAN)

Data for a crystal of Be2AsRh relaxed with PBEsol.

abc: 2.9059 3.1915 4.9335
angles: 90.00 90.00 90.00
Last column: nearest neighbours and their distance in Å.
Sites, in units of the cell vectors:
Rh1 0.5000 0.5000 0.0000  8 Be 2.44, 2 As 2.47
Be1 0.0000 0.0000 0.2329  1 Be 2.30, 4 Rh 2.44, 4 As 2.53
Be2 0.0000 0.0000 0.7671  1 Be 2.30, 4 Rh 2.44, 4 As 2.53
As1 0.5000 0.5000 0.5000  2 Rh 2.47, 8 Be 2.53

VASP energy in eV/atom: -15.986
Magnetic moment in μB per formula unit: 0.0
Energy of formation in eV per atom: -0.319

=====

## SrBe2Mo (meta-GGA SCAN)

Data for a crystal of SrBe2Mo relaxed with PBEsol.

abc: 3.8611 3.8611 5.0936
angles: 112.27 112.27 90.00
Last column: nearest neighbours and their distance in Å.
Sites, in units of the cell vectors:
Sr1 0.2500 0.7500 0.5000  8 Be 2.73-2.89, 4 Mo 2.89
Be1 0.0000 0.0000 0.0000  4 Mo 2.73, 4 Be 2.89, 4 Sr 2.89
Be2 0.7500 0.2500 0.5000  4 Sr 2.73, 4 Mo 2.89, 4 Be 2.89
Mo1 0.5000 0.5000 0.0000  8 Be 2.73-2.89, 4 Sr 2.89

VASP energy in eV/atom: -15.330
ΔE to the lowest computed polymorph in kJ/mol of formula units: 183.6
Magnetic moment in μB per formula unit: 0.0
Energy of formation in eV per atom: 1.137

=====

## CsRbSb2Te (meta-GGA SCAN)

Data for a crystal of CsRbSb2Te relaxed with PBEsol.

abc: 6.0828 6.0828 6.2792
angles: 90.00 90.00 90.00
Last column: nearest neighbours and their distance in Å.
Sites, in units of the cell vectors:
Sb1 0.5000 0.0000 0.0000  2 Rb 3.04
Sb2 0.0000 0.5000 0.0000  2 Rb 3.04
Cs1 0.5000 0.5000 0.5000  4 Te 4.30, 8 Sb 4.37
Rb1 0.0000 0.0000 0.0000  4 Sb 3.04, 2 Te 3.14
Te1 0.0000 0.0000 0.5000  2 Rb 3.14

VASP energy in eV/atom: -33.502
Formation energy without anion corrections in eV/f.u.: 2.811
Magnetic moment in μB per formula unit: 1.0

=====

## KMgZr4 (meta-GGA SCAN)

Data for a crystal of KMgZr4 relaxed with PBEsol.

abc: 6.0080 6.0080 6.0080
angles: 60.00 60.00 60.00
Last column: nearest neighbours and their distance in Å.
Sites, in units of the cell vectors:
Zr1 0.3723 0.3723 0.3723  6 Zr 2.94-3.07
Zr2 0.3723 0.3723 0.8831  6 Zr 2.94-3.07
Zr3 0.8831 0.3723 0.3723  6 Zr 2.94-3.07
Zr4 0.3723 0.8831 0.3723  6 Zr 2.94-3.07
Mg1 0.0000 0.0000 0.0000  12 Zr 3.52, 4 K 3.68
K1 0.7500 0.7500 0.7500  12 Zr 3.53, 4 Mg 3.68

VASP energy in eV/atom: -21.996
Magnetic moment in μB per formula unit: 0.0
Energy of formation in eV per atom: 0.686

=====

## Ba3Lu2Zn5O11 (meta-GGA SCAN)

Data for a crystal of Ba3Lu2Zn5O11 relaxed with PBEsol.

abc: 9.4759 9.4759 9.4759
angles: 60.00 60.00 60.00
Last column: nearest neighbours and their distance in Å.
Sites, in units of the cell vectors:
Ba1 0.4561 0.0439 0.4561  7 O 2.76-3.06
Ba2 0.0439 0.4561 0.4561  7 O 2.76-3.06
Ba3 0.0439 0.4561 0.0439  7 O 2.76-3.06
Ba4 0.4561 0.4561 0.0439  7 O 2.76-3.06
Ba5 0.4561 0.0439 0.0439  7 O 2.76-3.06
Ba6 0.0439 0.0439 0.4561  7 O 2.76-3.06
O1 0.7604 0.0799 0.0799  3 Lu 2.22
O2 0.7519 0.0799 0.4163  2 Zn 1.93-1.96
O3 0.4077 0.7769 0.4077  3 Zn 2.02
O4 0.7519 0.4163 0.7519  2 Zn 1.93-1.96
O5 0.7519 0.4163 0.0799  2 Zn 1.93-1.96
O6 0.0799 0.7604 0.0799  3 Lu 2.22
O7 0.4163 0.7519 0.7519  2 Zn 1.93-1.96
O8 0.7519 0.7519 0.0799  2 Zn 1.93-1.96
O9 0.7500 0.7500 0.7500  4 Zn 1.94
O10 0.4077 0.4077 0.4077  3 Zn 2.02
O11 0.0799 0.0799 0.0799  3 Lu 2.22
O12 0.0799 0.0799 0.7604  3 Lu 2.22
O13 0.4077 0.4077 0.7769  3 Zn 2.02
O14 0.7519 0.0799 0.7519  2 Zn 1.93-1.96
O15 0.7769 0.4077 0.4077  3 Zn 2.02
O16 0.7519 0.7519 0.4163  2 Zn 1.93-1.96
O17 0.0799 0.7519 0.7519  2 Zn 1.93-1.96
O18 0.4163 0.0799 0.7519  2 Zn 1.93-1.96
O19 0.0799 0.4163 0.7519  2 Zn 1.93-1.96
O20 0.4163 0.7519 0.0799  2 Zn 1.93-1.96
O21 0.2500 0.2500 0.2500  6 Ba 2.76
O22 0.0799 0.7519 0.4163  2 Zn 1.93-1.96
Lu1 0.9143 0.9143 0.2571  6 O 2.18-2.22
Lu2 0.9143 0.9143 0.9143  6 O 2.18-2.22
Lu3 0.2571 0.9143 0.9143  6 O 2.18-2.22
Lu4 0.9143 0.2571 0.9143  6 O 2.18-2.22
Zn1 0.6663 0.6663 0.0011  4 O 1.93-1.94
Zn2 0.6671 0.3329 0.3329  4 O 1.96-2.02
Zn3 0.6663 0.6663 0.6663  4 O 1.93-1.94
Zn4 0.0011 0.6663 0.6663  4 O 1.93-1.94
Zn5 0.6663 0.0011 0.6663  4 O 1.93-1.94
Zn6 0.3329 0.6671 0.3329  4 O 1.96-2.02
Zn7 0.6671 0.3329 0.6671  4 O 1.96-2.02
Zn8 0.3329 0.6671 0.6671  4 O 1.96-2.02
Zn9 0.6671 0.6671 0.3329  4 O 1.96-2.02
Zn10 0.3329 0.3329 0.6671  4 O 1.96-2.02

VASP energy in eV/atom: -19.968
Formation energy without anion corrections in eV/f.u.: -53.872
Magnetic moment in μB per formula unit: 0.0

=====

## BaNbZn2 (meta-GGA SCAN)

Data for a crystal of BaNbZn2 relaxed with PBEsol.

abc: 5.0531 5.0531 5.0531
angles: 60.00 60.00 60.00
Last column: nearest neighbours and their distance in Å.
Sites, in units of the cell vectors:
Nb1 0.0000 0.0000 0.0000  8 Zn 3.09
Zn1 0.2500 0.2500 0.2500  4 Ba 3.09, 4 Nb 3.09
Zn2 0.7500 0.7500 0.7500  4 Ba 3.09, 4 Nb 3.09
Ba1 0.5000 0.5000 0.5000  8 Zn 3.09

VASP energy in eV/atom: -24.415
Magnetic moment in μB per formula unit: 2.7
Energy of formation in eV per atom: 0.513

=====

## LaHgAu2 (meta-GGA SCAN)

Data for a crystal of LaHgAu2 relaxed with PBEsol.

abc: 4.7587 5.1522 4.7595
angles: 117.51 90.00 117.50
Last column: nearest neighbours and their distance in Å.
Sites, in units of the cell vectors:
Au1 0.7499 0.4999 0.2499  4 Au 3.08, 4 Hg 3.08, 4 La 3.37
Au2 0.0001 0.0002 0.0001  4 Au 3.08, 4 La 3.08, 4 Hg 3.37
Hg1 0.5000 0.9999 0.5000  4 La 3.08, 8 Au 3.08-3.37
La1 0.2500 0.5000 0.7500  8 Au 3.08-3.37, 4 Hg 3.08

VASP energy in eV/atom: -63.075
Magnetic moment in μB per formula unit: 0.0
Energy of formation in eV per atom: -0.679

=====

## ScTlAs2 (meta-GGA SCAN)

Data for a crystal of ScTlAs2 relaxed with PBEsol.

abc: 3.9556 3.9593 7.1047
angles: 105.79 90.00 119.97
Last column: nearest neighbours and their distance in Å.
Sites, in units of the cell vectors:
As1 0.2623 0.5245 0.2821  3 Sc 2.72, 3 Tl 2.95-2.98
As2 0.7377 0.4755 0.7179  3 Sc 2.72, 3 Tl 2.95-2.98
Tl1 0.5000 0.0000 0.0000  6 As 2.95-2.98
Sc1 0.0000 0.0000 0.5000  6 As 2.72

VASP energy in eV/atom: -32.190
ΔE to the lowest computed polymorph in kJ/mol of formula units: 37.3
Magnetic moment in μB per formula unit: 0.0
Energy of formation in eV per atom: -0.446

=====

## Ce3Si11Pt23 (meta-GGA SCAN)

Data for a crystal of Ce3Si11Pt23 relaxed with PBEsol.

abc: 11.9042 11.9042 11.9042
angles: 60.00 60.00 60.00
Last column: nearest neighbours and their distance in Å.
Sites, in units of the cell vectors:
Pt1 0.9169 0.9169 0.9169  4 Si 2.41-2.46
Pt2 0.2520 0.2520 0.9164  3 Si 2.42-2.44
Pt3 0.6913 0.6913 0.6913  4 Si 2.48, 3 Pt 2.72
Pt4 0.2520 0.9164 0.2520  3 Si 2.42-2.44
Pt5 0.9164 0.2520 0.5796  3 Si 2.42-2.44
Pt6 0.2520 0.5796 0.2520  3 Si 2.42-2.44
Pt7 0.5796 0.9164 0.2520  3 Si 2.42-2.44
Pt8 0.6913 0.6913 0.9260  4 Si 2.48, 3 Pt 2.72
Pt9 0.0831 0.7506 0.0831  4 Si 2.41-2.46
Pt10 0.7506 0.0831 0.0831  4 Si 2.41-2.46
Pt11 0.7480 0.4204 0.0836  3 Si 2.42-2.44
Pt12 0.2494 0.9169 0.9169  4 Si 2.41-2.46
Pt13 0.3087 0.3087 0.3087  4 Si 2.48, 3 Pt 2.72
Pt14 0.3742 0.3742 0.6258  4 Si 2.55
Pt15 0.5796 0.2520 0.9164  3 Si 2.42-2.44
Pt16 0.9169 0.2494 0.9169  4 Si 2.41-2.46
Pt17 0.6258 0.3742 0.6258  4 Si 2.55
Pt18 0.2520 0.9164 0.5796  3 Si 2.42-2.44
Pt19 0.7480 0.0836 0.7480  3 Si 2.42-2.44
Pt20 0.9164 0.2520 0.2520  3 Si 2.42-2.44
Pt21 0.6913 0.9260 0.6913  4 Si 2.48, 3 Pt 2.72
Pt22 0.0836 0.7480 0.4204  3 Si 2.42-2.44
Pt23 0.7480 0.7480 0.4204  3 Si 2.42-2.44
Pt24 0.9169 0.9169 0.2494  4 Si 2.41-2.46
Pt25 0.5796 0.2520 0.2520  3 Si 2.42-2.44
Pt26 0.0836 0.7480 0.7480  3 Si 2.42-2.44
Pt27 0.0740 0.3087 0.3087  4 Si 2.48, 3 Pt 2.72
Pt28 0.4204 0.0836 0.7480  3 Si 2.42-2.44
Pt29 0.7480 0.0836 0.4204  3 Si 2.42-2.44
Pt30 0.3087 0.0740 0.3087  4 Si 2.48, 3 Pt 2.72
Pt31 0.7480 0.4204 0.7480  3 Si 2.42-2.44
Pt32 0.6258 0.3742 0.3742  4 Si 2.55
Pt33 0.3742 0.6258 0.6258  4 Si 2.55
Pt34 0.7480 0.7480 0.0836  3 Si 2.42-2.44
Pt35 0.9260 0.6913 0.6913  4 Si 2.48, 3 Pt 2.72
Pt36 0.2520 0.5796 0.9164  3 Si 2.42-2.44
Pt37 0.0831 0.0831 0.7506  4 Si 2.41-2.46
Pt38 0.3742 0.6258 0.3742  4 Si 2.55
Pt39 0.6258 0.6258 0.3742  4 Si 2.55
Pt40 0.0831 0.0831 0.0831  4 Si 2.41-2.46
Pt41 0.9164 0.5796 0.2520  3 Si 2.42-2.44
Pt42 0.3087 0.3087 0.0740  4 Si 2.48, 3 Pt 2.72
Pt43 0.4204 0.7480 0.0836  3 Si 2.42-2.44
Pt44 0.2520 0.2520 0.5796  3 Si 2.42-2.44
Pt45 0.4204 0.7480 0.7480  3 Si 2.42-2.44
Pt46 0.0836 0.4204 0.7480  3 Si 2.42-2.44
Si1 0.6061 0.6061 0.6061  7 Pt 2.44-2.55
Si2 0.1816 0.6061 0.6061  7 Pt 2.44-2.55
Si3 0.6061 0.6061 0.1816  7 Pt 2.44-2.55
Si4 0.1657 0.1657 0.5029  7 Pt 2.41-2.48
Si5 0.1657 0.1657 0.1657  7 Pt 2.41-2.48
Si6 0.8297 0.1703 0.1703  8 Pt 2.43-2.46
Si7 0.3939 0.3939 0.3939  7 Pt 2.44-2.55
Si8 0.8297 0.1703 0.8297  8 Pt 2.43-2.46
Si9 0.3939 0.3939 0.8184  7 Pt 2.44-2.55
Si10 0.8184 0.3939 0.3939  7 Pt 2.44-2.55
Si11 0.1703 0.8297 0.1703  8 Pt 2.43-2.46
Si12 0.6061 0.1816 0.6061  7 Pt 2.44-2.55
Si13 0.1703 0.1703 0.8297  8 Pt 2.43-2.46
Si14 0.8297 0.8297 0.1703  8 Pt 2.43-2.46
Si15 0.8343 0.4971 0.8343  7 Pt 2.41-2.48
Si16 0.1703 0.8297 0.8297  8 Pt 2.43-2.46
Si17 0.8343 0.8343 0.8343  7 Pt 2.41-2.48
Si18 0.1657 0.5029 0.1657  7 Pt 2.41-2.48
Si19 0.8343 0.8343 0.4971  7 Pt 2.41-2.48
Si20 0.5029 0.1657 0.1657  7 Pt 2.41-2.48
Si21 0.4971 0.8343 0.8343  7 Pt 2.41-2.48
Si22 0.3939 0.8184 0.3939  7 Pt 2.44-2.55
Ce1 0.0000 0.5000 0.0000  8 Pt 3.13, 4 Si 3.44
Ce2 0.0000 0.5000 0.5000  8 Pt 3.13, 4 Si 3.44
Ce3 0.0000 0.0000 0.5000  8 Pt 3.13, 4 Si 3.44
Ce4 0.5000 0.0000 0.5000  8 Pt 3.13, 4 Si 3.44
Ce5 0.5000 0.5000 0.0000  8 Pt 3.13, 4 Si 3.44
Ce6 0.5000 0.0000 0.0000  8 Pt 3.13, 4 Si 3.44

VASP energy in eV/atom: -51.279
Formation energy without anion corrections in eV/f.u.: -39.006
Magnetic moment in μB per formula unit: 2.8